Entry 1:
Sc2OsPb after structural relaxation, computed with PBE-GGA.

DOS(E_F)   3.29 states/eV per cell
E   -0.2568 hartree per atom
Energy of formation   -0.09 eV per atom

Cell: 5.3815 5.3815 5.3815 Å, 134.13 134.13 66.88°
Fractional coordinates of all 4 atoms:
Os (0.5000, 0.5000, 0.0000)
Sc (0.2500, 0.7500, 0.5000)
Pb (0.7500, 0.2500, 0.5000)
Sc (0.0000, 0.0000, 0.0000)

=====

Entry 2:
AcAsSe after structural relaxation, computed with PBE-GGA.

Offset from the most stable computed form   567.9 meV per atom
DOS(E_F)   3.06 states/eV per cell
E   -0.1848 hartree per atom
Formation energy (no corrections)   -0.95 eV per atom

Cell: 4.0059 4.8223 4.8223 Å, 120.00 90.00 90.00°
Fractional coordinates of all 3 atoms:
Se (0.1669, 0.3333, 0.6667)
As (0.1666, 0.0000, 0.0000)
Ac (0.6665, 0.6667, 0.3333)

=====

Entry 3:
Al2RhW after structural relaxation, computed with PBE-GGA.

Offset from the most stable computed form   121.4 meV per atom
DOS(E_F)   1.82 states/eV per cell
E   -0.2673 hartree per atom
Energy of formation   -0.33 eV per atom

Cell: 8.6807 8.6807 8.6807 Å, 18.90 18.90 18.90°
Fractional coordinates of all 4 atoms:
W (0.2500, 0.2500, 0.2500)
Al (0.4945, 0.4945, 0.4945)
Al (0.0055, 0.0055, 0.0055)
Rh (0.7500, 0.7500, 0.7500)